Density functional theory data (PBE-GGA) for Na3YTi after structural relaxation.

Cell: 5.539 5.539 5.539 Å, 90.00 90.00 90.00°
Space group Pm-3m (No. 221)
Unique sites:
Na (0.000, 0.000, 0.500) x3
Y (0.500, 0.500, 0.500) x1
Ti (0.000, 0.000, 0.000) x1

Values from the calculation:
The calculation puts the total DFT energy (no corrections) at -12.70 eV for the cell shown. As for the density of states at the Fermi level: 7.8 states/eV/cell. Its formation energy is 1.1236 eV/atom. The value obtained for the energy above the most stable polymorph in this dataset is 0 meV per atom. Its volume is 169.95 Å³ per cell.